{"formula": "Te3Pb", "functional": "GGA-PBE", "state": "relaxed", "lattice": [[5.529, 0.000, 0.000], [2.765, 4.788, 0.000], [2.765, 1.596, 4.515]], "species": ["Pb", "Te", "Te", "Te"], "frac_coords": [[0.000, 0.000, 0.000], [0.750, 0.750, 0.750], [0.250, 0.250, 0.250], [0.500, 0.500, 0.500]], "crystal_system": "cubic", "m_tot_mub_per_cell": 0.00, "dos_ef_per_ev_atom": 0.714, "e_form_raw_mev_per_atom": 122, "dft_energy_ev_per_cell": -12.65, "sg": "Fm-3m, No. 225"}